Compound: ScTlSb2
Source: the Alexandria database
Functional: PBE-GGA
Structure: optimized geometry

Its volume is 105.76 Å³ per cell. Its formation energy from raw total energies is -0.09 eV/atom. As for the space group: Cmm2 (35). As for the crystal system: orthorhombic. As for the energy relative to the lowest polymorph listed for this composition: 1.09 eV/f.u.

abc: 3.374 3.374 9.473
angles: 90.00 90.00 101.25
Element x y z (fractional)
Sc1 0.000 0.000 0.000
Tl1 0.500 0.500 0.237
Sb1 0.000 0.000 0.485
Sb2 0.500 0.500 0.792


Compound: AgHgAsO4
Source: the Alexandria database
Functional: PBE-GGA
Structure: optimized geometry

Its volume is 216.25 Å³ per cell. Its formation energy from raw total energies is -0.73 eV/atom. As for the space group: Fdd2 (43). As for the crystal system: orthorhombic. As for the energy relative to the lowest polymorph listed for this composition: 0.00 eV/f.u.

abc: 8.306 6.441 6.877
angles: 77.09 49.10 53.81
Element x y z (fractional)
Ag1 0.000 0.000 0.000
Ag2 0.250 0.250 0.250
Hg1 0.386 0.386 0.614
Hg2 0.636 0.636 0.864
As1 0.698 0.698 0.302
As2 0.948 0.948 0.552
O1 0.029 0.548 0.122
O2 0.069 0.627 0.598
O3 0.128 0.949 0.221
O4 0.543 0.652 0.623
O5 0.548 0.029 0.301
O6 0.627 0.069 0.707
O7 0.652 0.543 0.181
O8 0.949 0.128 0.702


Compound: LiErF4
Source: the Alexandria database
Functional: PBE-GGA
Structure: optimized geometry

Its volume is 159.72 Å³ per cell. Its formation energy from raw total energies is -3.77 eV/atom. As for the space group: I4_1/amd (141). As for the crystal system: tetragonal.

abc: 5.923 5.923 5.923
angles: 108.17 108.17 112.10
Element x y z (fractional)
Li1 0.375 0.625 0.750
Li2 0.625 0.375 0.250
Er1 0.125 0.875 0.250
Er2 0.875 0.125 0.750
F1 0.174 0.239 0.565
F2 0.174 0.609 0.935
F3 0.239 0.174 0.065
F4 0.391 0.826 0.565
F5 0.609 0.174 0.435
F6 0.761 0.826 0.935
F7 0.826 0.391 0.065
F8 0.826 0.761 0.435


Compound: PrInPtRh
Source: the Alexandria database
Functional: PBE-GGA
Structure: optimized geometry

Its volume is 82.02 Å³ per cell. As for the space group: F-43m (216). As for the crystal system: cubic. The value obtained for the total DFT energy (no corrections) is -5.868 eV per atom.

abc: 4.877 4.877 4.877
angles: 60.00 60.00 60.00
Element x y z (fractional)
Pr1 0.000 0.000 0.000
In1 0.500 0.500 0.500
Pt1 0.250 0.250 0.250
Rh1 0.750 0.750 0.750